[1]
Computed, not measured: an optimized crystal structure of LaV3S at the PBE level of DFT.

```
5
Lattice="4.5383 0.0000 0.0000 0.0000 4.5383 0.0000 0.0000 0.0000 4.5383" Properties=species:S:1:pos:R:3 pbc="T T T"
La 0.0000 0.0000 0.0000
V 0.0000 2.2692 2.2692
V 2.2692 0.0000 2.2692
V 2.2692 2.2692 0.0000
S 2.2692 2.2692 2.2692
```

Output
Distance to the lowest polymorph of the same formula = 0 meV/atom

***

[2]
Computed, not measured: an optimized crystal structure of LaW2S6 at the PBE level of DFT.

```
9
Lattice="6.1248 -2.3884 0.0000 6.1248 2.3884 0.0000 -4.9122 0.0000 7.0768" Properties=species:S:1:pos:R:3 pbc="T T T"
La 0.0000 0.0000 0.0000
W -0.6670 0.0000 4.3187
W 8.0044 0.0000 2.7580
S -3.0039 0.0000 4.8205
S 1.3515 0.0000 2.8942
S -0.3996 0.0000 6.6130
S 7.7370 0.0000 0.4637
S 5.9859 0.0000 4.1826
S 10.3413 0.0000 2.2562
```

Output
Energy = -6.9259 eV per atom

***

[3]
Computed, not measured: an optimized crystal structure of LaYWS2 at the PBE level of DFT.

```
5
Lattice="5.2276 0.0000 0.0000 0.0000 5.2276 0.0000 0.0000 0.0000 6.3331" Properties=species:S:1:pos:R:3 pbc="T T T"
La 0.0000 0.0000 0.0000
Y 0.0000 0.0000 3.1666
W 2.6138 2.6138 3.1666
S 0.0000 2.6138 0.0000
S 2.6138 0.0000 0.0000
```

Output
Energy = -5.1363 eV per atom

***

[4]
Computed, not measured: an optimized crystal structure of LaYW2S at the PBE level of DFT.

```
5
Lattice="4.6131 0.0000 0.0000 0.0000 4.6131 0.0000 0.0000 0.0000 5.1744" Properties=species:S:1:pos:R:3 pbc="T T T"
La 0.0000 0.0000 0.0000
Y 2.3065 2.3065 0.0000
W 0.0000 2.3065 2.5872
W 2.3065 0.0000 2.5872
S 2.3065 2.3065 2.5872
```

Output
Energy = -7.9684 eV per atom